Record 1
# Pr4HgSe2 GGA-PBE relaxed
data_Pr4HgSe2
_cell_length_a 4.243
_cell_length_b 13.842
_cell_length_c 14.708
_cell_angle_alpha 90.00
_cell_angle_beta 90.00
_cell_angle_gamma 90.00
_space_group_name_H-M_alt 'C m c m'
_space_group_IT_number 63
_space_group_name_Hall '-C 2c 2'
loop_
_atom_site_label
_atom_site_fract_x
_atom_site_fract_y
_atom_site_fract_z
_atom_site_occupancy
Pr1 0.000 0.000 0.000 1
Pr2 0.000 0.274 0.120 1
Pr3 0.000 0.440 0.750 1
Hg1 0.000 0.111 0.750 1
Se1 0.000 0.363 0.562 1
# - DFT total energy: -0.181 Ha/atom
# - ρ: 7.09 g/cm3
# - Volume: 864 Å³/cell


Record 2
# Pr6HgSe5 GGA-PBE relaxed
data_Pr6HgSe5
_cell_length_a 7.469
_cell_length_b 12.904
_cell_length_c 7.436
_cell_angle_alpha 90.00
_cell_angle_beta 109.36
_cell_angle_gamma 90.00
_space_group_name_H-M_alt 'C 1 2/m 1'
_space_group_IT_number 12
_space_group_name_Hall '-C 2y'
loop_
_atom_site_label
_atom_site_fract_x
_atom_site_fract_y
_atom_site_fract_z
_atom_site_occupancy
Pr1 0.244 0.000 0.252 1
Pr2 0.246 0.170 0.746 1
Hg1 0.000 0.500 0.000 1
Se1 0.000 0.000 0.500 1
Se2 0.000 0.166 0.000 1
Se3 0.000 0.335 0.500 1
# - DFT total energy: -0.202 Ha/atom
# - ρ: 7.08 g/cm3
# - Volume: 676 Å³/cell


Record 3
# Pr5HgSe4 GGA-PBE relaxed
data_Pr5HgSe4
_cell_length_a 9.638
_cell_length_b 9.638
_cell_length_c 6.099
_cell_angle_alpha 90.00
_cell_angle_beta 90.00
_cell_angle_gamma 90.00
_space_group_name_H-M_alt 'I 4/m'
_space_group_IT_number 87
_space_group_name_Hall '-I 4'
loop_
_atom_site_label
_atom_site_fract_x
_atom_site_fract_y
_atom_site_fract_z
_atom_site_occupancy
Pr1 0.000 0.000 0.000 1
Pr2 0.102 0.693 0.500 1
Hg1 0.000 0.000 0.500 1
Se1 0.101 0.700 0.000 1
# - DFT total energy: -0.198 Ha/atom
# - ρ: 7.16 g/cm3
# - Volume: 567 Å³/cell


- Among the records above, which one has the lowest volume?
  Pr5HgSe4